--- a ---
Density functional theory data (PBE-GGA) for a geometry-optimized TlHSeBr2 structure.

Cell lengths 5.6969, 5.6969, 5.5322 Å; angles 90.00, 90.00, 90.00 degrees
Site moments in Bohr magnetons follow the coordinates.
Fractional positions:
H 0.5000 0.5000 0.5000  0.38
Tl 0.0000 0.0000 0.0000  -0.02
Se 0.0000 0.0000 0.5000  0.67
Br 0.0000 0.5000 0.0000  0.08
Br 0.5000 0.0000 0.0000  0.08

Calculated values
Magnetization (μB/f.u.): 2.3
SG: P4/mmm
ρ (Mg/m³): 4.108

--- b ---
Density functional theory data (PBE-GGA) for a geometry-optimized TlHSeBr2 structure.

Cell lengths 5.7567, 5.7567, 3.6094 Å; angles 90.00, 90.00, 90.00 degrees
Site moments in Bohr magnetons follow the coordinates.
Fractional positions:
H 0.0000 0.0000 0.0000  0.01
Tl 0.5000 0.5000 0.5000  0.00
Se 0.0000 0.0000 0.5000  0.39
Br 0.0000 0.5000 0.0000  0.12
Br 0.5000 0.0000 0.0000  0.12

Calculated values
Magnetization (μB/f.u.): 0.9
SG: P4/mmm
ρ (Mg/m³): 6.166

Which of them is most stable? Easy: b.

--- a ---
Density functional theory data (PBE-GGA) for a geometry-optimized ZnHSeBr2 structure.

Cell lengths 5.3645, 5.3645, 3.5318 Å; angles 90.00, 90.00, 90.00 degrees
Site moments in Bohr magnetons follow the coordinates.
Fractional positions:
H 0.0000 0.0000 0.0000  0.01
Zn 0.5000 0.5000 0.5000  0.00
Se 0.0000 0.0000 0.5000  0.19
Br 0.0000 0.5000 0.0000  0.04
Br 0.5000 0.0000 0.0000  0.04

Calculated values
Magnetization (μB/f.u.): 0.4
SG: P4/mmm
ρ (Mg/m³): 4.986

--- b ---
Density functional theory data (PBE-GGA) for a geometry-optimized ZnHSeBr2 structure.

Cell lengths 5.2695, 5.2695, 5.0529 Å; angles 90.00, 90.00, 90.00 degrees
Site moments in Bohr magnetons follow the coordinates.
Fractional positions:
H 0.5000 0.5000 0.5000  0.38
Zn 0.0000 0.0000 0.0000  0.00
Se 0.0000 0.0000 0.5000  0.91
Br 0.0000 0.5000 0.0000  0.23
Br 0.5000 0.0000 0.0000  0.23

Calculated values
Magnetization (μB/f.u.): 3.0
SG: P4/mmm
ρ (Mg/m³): 3.612

Which of them is most stable? Easy: a.

--- a ---
Density functional theory data (PBE-GGA) for a geometry-optimized Si3HBr structure.

Cell lengths 5.0942, 5.0942, 5.0942 Å; angles 90.00, 90.00, 90.00 degrees
Site moments in Bohr magnetons follow the coordinates.
Fractional positions:
H 0.5000 0.5000 0.5000  0.29
Si 0.0000 0.5000 0.0000  0.00
Si 0.0000 0.0000 0.5000  -0.03
Si 0.5000 0.0000 0.0000  0.02
Br 0.0000 0.0000 0.0000  -0.01

Calculated values
Magnetization (μB/f.u.): 0.6
SG: Pm-3m
ρ (Mg/m³): 2.075

--- b ---
Density functional theory data (PBE-GGA) for a geometry-optimized Si3HBr structure.

Cell lengths 4.2878, 4.2878, 4.2878 Å; angles 90.00, 90.00, 90.00 degrees
Fractional positions:
H 0.0000 0.0000 0.0000
Si 0.0000 0.5000 0.0000
Si 0.0000 0.0000 0.5000
Si 0.5000 0.0000 0.0000
Br 0.5000 0.5000 0.5000

Calculated values
Magnetization (μB/f.u.): 0.0
SG: Pm-3m
ρ (Mg/m³): 3.479

Which of them is most stable? Easy: b.

--- a ---
Density functional theory data (PBE-GGA) for a geometry-optimized SnH2Br2 structure.

Cell lengths 4.4136, 4.4136, 8.3774 Å; angles 89.85, 89.85, 60.06 degrees
Site moments in Bohr magnetons follow the coordinates.
Fractional positions:
Sn 0.0000 0.0000 0.0000  0.03
H 0.3333 0.3333 0.6093  0.37
H 0.6667 0.6667 0.3907  0.37
Br 0.3331 0.3331 0.1955  0.04
Br 0.6669 0.6669 0.8045  0.04

Calculated values
Magnetization (μB/f.u.): 2.0
SG: C2/m
ρ (Mg/m³): 3.294

--- b ---
Density functional theory data (PBE-GGA) for a geometry-optimized SnH2Br2 structure.

Cell lengths 3.1734, 6.3470, 5.6346 Å; angles 94.62, 90.00, 104.48 degrees
Fractional positions:
Sn 0.0000 0.0000 0.0000
H 0.5702 0.1405 0.1634
H 0.4298 0.8595 0.8366
Br 0.1550 0.3101 0.6893
Br 0.8450 0.6899 0.3107

Calculated values
Magnetization (μB/f.u.): 0.0
SG: C2/m
ρ (Mg/m³): 4.254

Which of them is most stable? Easy: b.

--- a ---
Density functional theory data (PBE-GGA) for a geometry-optimized TaH2Br structure.

Cell lengths 4.0015, 4.0015, 4.0015 Å; angles 60.00, 60.00, 60.00 degrees
Fractional positions:
H 0.2500 0.2500 0.2500
H 0.7500 0.7500 0.7500
Br 0.0000 0.0000 0.0000
Ta 0.5000 0.5000 0.5000

Calculated values
Magnetization (μB/f.u.): 0.0
SG: Fm-3m
ρ (Mg/m³): 9.635

--- b ---
Density functional theory data (PBE-GGA) for a geometry-optimized TaH2Br structure.

Cell lengths 5.9924, 5.9924, 5.0576 Å; angles 53.67, 53.67, 90.00 degrees
Fractional positions:
H 0.7330 0.1250 0.2500
H 0.0170 0.6250 0.2500
H 0.3750 0.2670 0.7500
H 0.8750 0.9830 0.7500
Br 0.5000 0.5000 0.0000
Br 0.2500 0.7500 0.5000
Ta 0.0000 0.0000 0.0000
Ta 0.7500 0.2500 0.5000

Calculated values
Magnetization (μB/f.u.): 0.0
SG: I-42d
ρ (Mg/m³): 8.804

Which of them is most stable? Easy: b.

--- a ---
Density functional theory data (PBE-GGA) for a geometry-optimized TcHBr3 structure.

Cell lengths 4.4852, 4.4852, 4.4852 Å; angles 90.00, 90.00, 90.00 degrees
Fractional positions:
H 0.0000 0.0000 0.0000
Tc 0.5000 0.5000 0.5000
Br 0.0000 0.5000 0.0000
Br 0.0000 0.0000 0.5000
Br 0.5000 0.0000 0.0000

Calculated values
Magnetization (μB/f.u.): 0.0
SG: Pm-3m
ρ (Mg/m³): 6.234

--- b ---
Density functional theory data (PBE-GGA) for a geometry-optimized TcHBr3 structure.

Cell lengths 5.2080, 5.2080, 5.2080 Å; angles 90.00, 90.00, 90.00 degrees
Site moments in Bohr magnetons follow the coordinates.
Fractional positions:
H 0.5000 0.5000 0.5000  0.38
Tc 0.0000 0.0000 0.0000  2.83
Br 0.0000 0.5000 0.0000  0.12
Br 0.0000 0.0000 0.5000  0.08
Br 0.5000 0.0000 0.0000  0.19

Calculated values
Magnetization (μB/f.u.): 4.6
SG: Pm-3m
ρ (Mg/m³): 3.982

Which of them is most stable? Easy: b.

--- a ---
Density functional theory data (PBE-GGA) for a geometry-optimized Tc2HBr structure.

Cell lengths 4.9262, 4.9262, 5.8203 Å; angles 64.96, 64.96, 90.00 degrees
Fractional positions:
H 0.5000 0.5000 0.0000
H 0.2500 0.7500 0.5000
Tc 0.4920 0.1250 0.2500
Tc 0.2580 0.6250 0.2500
Tc 0.3750 0.5080 0.7500
Tc 0.8750 0.7420 0.7500
Br 0.0000 0.0000 0.0000
Br 0.7500 0.2500 0.5000

Calculated values
Magnetization (μB/f.u.): 0.0
SG: I-42d
ρ (Mg/m³): 8.127

--- b ---
Density functional theory data (PBE-GGA) for a geometry-optimized Tc2HBr structure.

Cell lengths 4.1645, 4.1645, 4.1645 Å; angles 60.00, 60.00, 60.00 degrees
Fractional positions:
H 0.0000 0.0000 0.0000
Tc 0.2500 0.2500 0.2500
Tc 0.7500 0.7500 0.7500
Br 0.5000 0.5000 0.5000

Calculated values
Magnetization (μB/f.u.): 0.0
SG: Fm-3m
ρ (Mg/m³): 9.004

Which of them is most stable? Easy: a.

--- a ---
Density functional theory data (PBE-GGA) for a geometry-optimized TeHBr2 structure.

Cell lengths 8.4367, 8.4367, 8.4367 Å; angles 24.83, 24.83, 24.83 degrees
Site moments in Bohr magnetons follow the coordinates.
Fractional positions:
H 0.5000 0.5000 0.5000  0.06
Te 0.0000 0.0000 0.0000  0.00
Br 0.8899 0.8899 0.8899  0.00
Br 0.1101 0.1101 0.1101  0.00

Calculated values
Magnetization (μB/f.u.): 0.1
SG: R-3m
ρ (Mg/m³): 5.141

--- b ---
Density functional theory data (PBE-GGA) for a geometry-optimized TeHBr2 structure.

Cell lengths 6.2208, 6.2208, 6.6583 Å; angles 62.15, 62.15, 90.00 degrees
Fractional positions:
H 0.5000 0.5000 0.0000
H 0.2500 0.7500 0.5000
Te 0.0000 0.0000 0.0000
Te 0.7500 0.2500 0.5000
Br 0.4892 0.1250 0.2500
Br 0.2608 0.6250 0.2500
Br 0.3750 0.5108 0.7500
Br 0.8750 0.7392 0.7500

Calculated values
Magnetization (μB/f.u.): 0.0
SG: I-42d
ρ (Mg/m³): 4.952

--- c ---
Density functional theory data (PBE-GGA) for a geometry-optimized TeHBr2 structure.

Cell lengths 5.1664, 5.1664, 5.1664 Å; angles 60.00, 60.00, 60.00 degrees
Site moments in Bohr magnetons follow the coordinates.
Fractional positions:
H 0.0000 0.0000 0.0000  0.36
Te 0.5000 0.5000 0.5000  0.10
Br 0.2500 0.2500 0.2500  0.04
Br 0.7500 0.7500 0.7500  0.04

Calculated values
Magnetization (μB/f.u.): 1.1
SG: Fm-3m
ρ (Mg/m³): 4.911

Which of them is most stable? Easy: a.

--- a ---
Density functional theory data (PBE-GGA) for a geometry-optimized TeH3Br structure.

Cell lengths 7.4706, 7.4706, 7.4706 Å; angles 45.60, 45.60, 45.60 degrees
Fractional positions:
Te 0.0086 0.0086 0.0086
Te 0.5086 0.5086 0.5086
H 0.9157 0.9157 0.3407
H 0.3407 0.9157 0.9157
H 0.9157 0.3407 0.9157
H 0.4157 0.8407 0.4157
H 0.8407 0.4157 0.4157
H 0.4157 0.4157 0.8407
Br 0.7908 0.7908 0.7908
Br 0.2908 0.2908 0.2908

Calculated values
Magnetization (μB/f.u.): 0.0
SG: R3m
ρ (Mg/m³): 3.605

--- b ---
Density functional theory data (PBE-GGA) for a geometry-optimized TeH3Br structure.

Cell lengths 4.0009, 4.0009, 4.0009 Å; angles 90.00, 90.00, 90.00 degrees
Fractional positions:
H 0.0000 0.5000 0.0000
H 0.0000 0.0000 0.5000
H 0.5000 0.0000 0.0000
Te 0.5000 0.5000 0.5000
Br 0.0000 0.0000 0.0000

Calculated values
Magnetization (μB/f.u.): 0.0
SG: Pm-3m
ρ (Mg/m³): 5.459

--- c ---
Density functional theory data (PBE-GGA) for a geometry-optimized TeH3Br structure.

Cell lengths 4.0193, 4.0193, 4.0193 Å; angles 90.00, 90.00, 90.00 degrees
Fractional positions:
H 0.0000 0.5000 0.0000
H 0.0000 0.0000 0.5000
H 0.5000 0.0000 0.0000
Te 0.0000 0.0000 0.0000
Br 0.5000 0.5000 0.5000

Calculated values
Magnetization (μB/f.u.): 0.0
SG: Pm-3m
ρ (Mg/m³): 5.384

Which of them is most stable? Easy: a.

--- a ---
Density functional theory data (PBE-GGA) for a geometry-optimized TiH2Br structure.

Cell lengths 4.0443, 4.0443, 4.0443 Å; angles 60.00, 60.00, 60.00 degrees
Site moments in Bohr magnetons follow the coordinates.
Fractional positions:
H 0.2500 0.2500 0.2500  0.05
H 0.7500 0.7500 0.7500  0.05
Br 0.5000 0.5000 0.5000  0.08
Ti 0.0000 0.0000 0.0000  -1.26

Calculated values
Magnetization (μB/f.u.): 1.2
SG: Fm-3m
ρ (Mg/m³): 4.608

--- b ---
Density functional theory data (PBE-GGA) for a geometry-optimized TiH2Br structure.

Cell lengths 4.0431, 4.0431, 6.7801 Å; angles 72.65, 72.65, 90.00 degrees
Site moments in Bohr magnetons follow the coordinates.
Fractional positions:
H 0.3752 0.1250 0.2500  -0.01
H 0.3748 0.6250 0.2500  -0.01
H 0.3750 0.6248 0.7500  -0.01
H 0.8750 0.6252 0.7500  -0.01
Br 0.0000 0.0000 0.0000  -0.02
Br 0.7500 0.2500 0.5000  -0.02
Ti 0.5000 0.5000 0.0000  0.91
Ti 0.2500 0.7500 0.5000  0.91

Calculated values
Magnetization (μB/f.u.): 1.0
SG: I4_1/amd
ρ (Mg/m³): 4.289

Which of them is most stable? Easy: b.

--- a ---
Density functional theory data (PBE-GGA) for a geometry-optimized TlHBr2 structure.

Cell lengths 5.2231, 5.2231, 5.2231 Å; angles 60.00, 60.00, 60.00 degrees
Site moments in Bohr magnetons follow the coordinates.
Fractional positions:
H 0.0000 0.0000 0.0000  0.33
Tl 0.5000 0.5000 0.5000  -0.15
Br 0.2500 0.2500 0.2500  -0.15
Br 0.7500 0.7500 0.7500  -0.15

Calculated values
Magnetization (μB/f.u.): 0.2
SG: Fm-3m
ρ (Mg/m³): 6.019

--- b ---
Density functional theory data (PBE-GGA) for a geometry-optimized TlHBr2 structure.

Cell lengths 5.0216, 9.3956, 7.8225 Å; angles 122.63, 108.70, 89.99 degrees
Fractional positions:
Tl 0.5259 0.8939 0.5962
Tl 0.0012 0.4438 0.5455
H 0.0563 0.9364 0.1078
H 0.0206 0.4008 0.0339
Br 0.1488 0.8629 0.8464
Br 0.9735 0.9960 0.3065
Br 0.3743 0.4748 0.2953
Br 0.7391 0.3412 0.8354

Calculated values
Magnetization (μB/f.u.): 0.0
SG: P1
ρ (Mg/m³): 4.220

Which of them is most stable? Easy: b.

--- a ---
Density functional theory data (PBE-GGA) for a geometry-optimized TlHBr2 structure.

Cell lengths 6.8849, 6.8849, 6.5055 Å; angles 58.05, 58.05, 90.00 degrees
Fractional positions:
H 0.5000 0.5000 0.0000
H 0.2500 0.7500 0.5000
Tl 0.0000 0.0000 0.0000
Tl 0.7500 0.2500 0.5000
Br 0.4910 0.1250 0.2500
Br 0.2590 0.6250 0.2500
Br 0.3750 0.5090 0.7500
Br 0.8750 0.7410 0.7500

Calculated values
Magnetization (μB/f.u.): 0.0
SG: I-42d
ρ (Mg/m³): 5.929

--- b ---
Density functional theory data (PBE-GGA) for a geometry-optimized TlHBr2 structure.

Cell lengths 9.0520, 9.0520, 9.0520 Å; angles 22.69, 22.69, 22.69 degrees
Fractional positions:
H 0.5000 0.5000 0.5000
Tl 0.0000 0.0000 0.0000
Br 0.8848 0.8848 0.8848
Br 0.1152 0.1152 0.1152

Calculated values
Magnetization (μB/f.u.): 0.0
SG: R-3m
ρ (Mg/m³): 6.263

--- c ---
Density functional theory data (PBE-GGA) for a geometry-optimized TlHBr2 structure.

Cell lengths 6.7307, 6.7307, 7.5047 Å; angles 56.14, 56.14, 67.71 degrees
Fractional positions:
Tl 0.2506 0.7489 0.7449
Tl 0.7489 0.2506 0.2449
H 0.9997 0.4998 0.4951
H 0.4998 0.9997 0.9951
Br 0.8390 0.6623 0.3329
Br 0.1605 0.3372 0.6574
Br 0.6623 0.8390 0.8329
Br 0.3372 0.1605 0.1574

Calculated values
Magnetization (μB/f.u.): 0.0
SG: C2/c
ρ (Mg/m³): 5.199

Which of them is most stable? Easy: c.